An optimized crystal structure of ZrVCr2O6. Source: the Alexandria database, functional GGA+U.

Properties
- Total energy: -8.34 eV per atom
- Symmetry: P1, No. 1
- Total magnetic moment: 9.000 μB/f.u.
- Crystal system: triclinic
- V: 11.55 Å³ per atom
- ρ: 4.9 Mg/m³

POSCAR file:
```
ZrVCr2O6
1.0
-1.7692 2.7894 -4.2324
-5.1219 0.3214 -0.9494
-2.5804 5.0701 0.7873
O Cr Zr V
6 2 1 1
Cartesian
-5.7948 2.3249 -1.6619
-4.3051 4.2635 -0.3178
-6.2958 5.1947 -1.8539
-5.3742 4.0195 -4.2648
-2.8831 3.0339 -2.6135
-3.7987 5.7297 -2.4570
-2.5545 4.8141 0.6589
-4.7246 3.8934 -2.3128
-7.0360 5.3785 -3.7960
-2.2980 1.2764 -1.5885
```